A plane-wave DFT calculation with PBE was carried out for an optimized crystal structure of KDyCl4.

```
KDyCl4
1.0
6.329 0.004 -2.287
-0.408 7.360 -1.117
-0.417 0.144 8.766
Cl K Dy
8 2 2
direct
0.870 0.205 0.592 Cl
0.722 0.705 0.592 Cl
0.278 0.295 0.408 Cl
0.130 0.795 0.408 Cl
0.459 0.927 0.192 Cl
0.541 0.073 0.808 Cl
0.267 0.573 0.807 Cl
0.733 0.427 0.193 Cl
0.736 0.750 0.001 K
0.264 0.250 0.999 K
0.000 0.500 0.500 Dy
0.500 0.000 0.500 Dy
```

Results
E, eV/atom: -4.353
E_form (uncorrected), meV/atom: -2172
Offset from the most stable computed form, eV/atom: 0.010


A plane-wave DFT calculation with PBE was carried out for an optimized crystal structure of KDy2Cl7.

```
KDy2Cl7
1.0
-4.904 -1.409 -1.373
2.871 -6.706 -3.372
-2.022 -0.521 7.760
Cl Dy K
7 2 1
direct
0.500 0.049 0.327 Cl
0.500 0.951 0.673 Cl
0.500 0.673 0.951 Cl
0.500 0.327 0.049 Cl
0.500 0.500 0.500 Cl
0.000 0.294 0.706 Cl
0.000 0.706 0.294 Cl
0.500 0.303 0.697 Dy
0.500 0.697 0.303 Dy
0.000 0.000 0.000 K
```

Results
E, eV/atom: -4.528
E_form (uncorrected), meV/atom: -2205
Offset from the most stable computed form, eV/atom: 0.042


A plane-wave DFT calculation with PBE was carried out for an optimized crystal structure of KDy4Cl12.

```
KDy4Cl12
1.0
-0.506 8.708 -2.035
-6.251 -4.423 -4.647
-1.427 -1.286 8.749
Cl Dy K
12 4 1
direct
0.062 0.754 0.308 Cl
0.447 0.754 0.692 Cl
0.806 0.248 0.054 Cl
0.700 0.898 0.198 Cl
0.938 0.246 0.692 Cl
0.553 0.246 0.308 Cl
0.194 0.248 0.442 Cl
0.700 0.502 0.802 Cl
0.194 0.752 0.946 Cl
0.300 0.498 0.198 Cl
0.806 0.752 0.558 Cl
0.300 0.102 0.802 Cl
0.000 0.000 0.500 Dy
0.000 0.500 0.000 Dy
0.500 0.000 0.000 Dy
0.500 0.500 0.500 Dy
0.000 0.500 0.500 K
```

Results
E, eV/atom: -4.603
E_form (uncorrected), meV/atom: -2152


A plane-wave DFT calculation with PBE was carried out for an optimized crystal structure of KDyCl4.

```
KDyCl4
1.0
-0.266 -2.208 -6.966
5.507 -3.998 1.057
-4.517 -5.332 3.370
Cl Dy K
8 2 2
direct
0.896 0.630 0.184 Cl
0.217 0.812 0.607 Cl
0.717 0.688 0.607 Cl
0.604 0.130 0.816 Cl
0.396 0.870 0.184 Cl
0.783 0.188 0.393 Cl
0.283 0.312 0.393 Cl
0.104 0.370 0.816 Cl
0.500 0.000 0.500 Dy
0.000 0.500 0.500 Dy
0.000 0.000 0.000 K
0.500 0.500 0.000 K
```

Results
E, eV/atom: -4.363
E_form (uncorrected), meV/atom: -2182
Offset from the most stable computed form, eV/atom: 0.000


A plane-wave DFT calculation with PBE was carried out for an optimized crystal structure of K4DyCl7.

```
K4DyCl7
1.0
-3.887 2.988 1.787
-3.471 -0.782 -6.242
-1.595 -10.378 6.262
Cl Dy K
7 1 4
direct
0.281 0.252 0.562 Cl
0.944 0.263 0.888 Cl
0.104 0.269 0.208 Cl
0.500 0.000 0.000 Cl
0.056 0.737 0.112 Cl
0.719 0.748 0.438 Cl
0.896 0.731 0.792 Cl
0.000 0.000 0.000 Dy
0.290 0.812 0.579 K
0.710 0.188 0.421 K
0.409 0.466 0.819 K
0.591 0.534 0.181 K
```

Results
E, eV/atom: -3.853
E_form (uncorrected), meV/atom: -2026


A plane-wave DFT calculation with PBE was carried out for an optimized crystal structure of KDy2Cl8.

```
KDy2Cl8
1.0
-3.761 6.934 -1.235
-3.956 -1.727 -5.491
-6.308 -1.570 2.556
Cl Dy K
8 2 1
direct
0.285 0.559 0.559 Cl
0.664 0.957 0.340 Cl
0.336 0.043 0.660 Cl
0.197 0.218 0.218 Cl
0.715 0.441 0.441 Cl
0.803 0.782 0.782 Cl
0.664 0.340 0.957 Cl
0.336 0.660 0.043 Cl
0.460 0.322 0.322 Dy
0.540 0.678 0.678 Dy
0.000 0.000 0.000 K
```

Results
E, eV/atom: -4.217
E_form (uncorrected), meV/atom: -1938


A plane-wave DFT calculation with PBE was carried out for an optimized crystal structure of KLi2DyCl6.

```
KLi2DyCl6
1.0
6.898 0.001 0.002
3.450 5.973 0.001
3.450 1.992 6.314
Cl Dy Li K
6 1 2 1
direct
0.338 0.734 0.764 Cl
0.589 0.261 0.240 Cl
0.910 0.589 0.240 Cl
0.734 0.164 0.764 Cl
0.165 0.338 0.764 Cl
0.261 0.910 0.240 Cl
0.320 0.320 0.039 Dy
0.016 0.016 0.953 Li
0.526 0.526 0.421 Li
0.803 0.803 0.592 K
```

Results
E, eV/atom: -4.083
E_form (uncorrected), meV/atom: -2022


A plane-wave DFT calculation with PBE was carried out for an optimized crystal structure of KLiDy2Cl8.

```
KLiDy2Cl8
1.0
-1.973 -2.471 5.888
5.083 -4.210 0.810
4.262 5.898 3.903
Cl Dy K Li
8 2 1 1
direct
0.202 0.787 0.216 Cl
0.202 0.787 0.784 Cl
0.335 0.323 0.500 Cl
0.798 0.213 0.784 Cl
0.665 0.677 0.500 Cl
0.798 0.213 0.216 Cl
0.324 0.313 0.000 Cl
0.676 0.687 0.000 Cl
0.500 0.500 0.242 Dy
0.500 0.500 0.758 Dy
0.000 0.000 0.500 K
0.000 0.000 0.000 Li
```

Results
E, eV/atom: -4.376
E_form (uncorrected), meV/atom: -2127


A plane-wave DFT calculation with PBE was carried out for an optimized crystal structure of K2Li2DyCl6.

```
K2Li2DyCl6
1.0
6.776 0.000 0.000
-3.388 5.868 0.000
0.000 0.000 7.455
Cl K Li Dy
6 2 2 1
direct
0.343 0.343 0.195 Cl
0.343 0.000 0.805 Cl
0.657 0.657 0.805 Cl
0.657 0.000 0.195 Cl
0.000 0.343 0.805 Cl
0.000 0.657 0.195 Cl
0.333 0.667 0.500 K
0.667 0.333 0.500 K
0.667 0.333 0.000 Li
0.333 0.667 0.000 Li
0.000 0.000 0.000 Dy
```

Results
E, eV/atom: -3.764
E_form (uncorrected), meV/atom: -1791


A plane-wave DFT calculation with PBE was carried out for an optimized crystal structure of KDyMn2Cl8.

```
KDyMn2Cl8
1.0
6.416 0.581 0.565
0.632 6.407 0.566
0.739 0.771 8.832
Cl K Dy Mn
8 1 1 2
direct
0.337 0.326 0.511 Cl
0.724 0.737 0.043 Cl
0.276 0.263 0.957 Cl
0.241 0.793 0.779 Cl
0.663 0.674 0.489 Cl
0.759 0.207 0.221 Cl
0.802 0.251 0.777 Cl
0.198 0.749 0.223 Cl
0.000 0.000 0.500 K
0.000 0.000 0.000 Dy
0.548 0.551 0.285 Mn
0.452 0.449 0.715 Mn
```

Results
E, eV/atom: -4.837
E_form (uncorrected), meV/atom: -1603


A plane-wave DFT calculation with PBE was carried out for an optimized crystal structure of KNaDyCl5.

```
KNaDyCl5
1.0
-3.755 -3.189 -5.980
6.104 -4.237 2.195
-6.441 -1.731 7.545
Cl K Na Dy
10 2 2 2
direct
0.924 0.076 0.750 Cl
0.636 0.744 0.944 Cl
0.076 0.924 0.250 Cl
0.364 0.256 0.056 Cl
0.073 0.702 0.901 Cl
0.298 0.927 0.599 Cl
0.744 0.636 0.444 Cl
0.256 0.364 0.556 Cl
0.702 0.073 0.401 Cl
0.927 0.298 0.099 Cl
0.348 0.652 0.250 K
0.652 0.348 0.750 K
0.686 0.314 0.250 Na
0.314 0.686 0.750 Na
0.000 0.000 0.000 Dy
0.000 0.000 0.500 Dy
```

Results
E, eV/atom: -4.117
E_form (uncorrected), meV/atom: -2085


A plane-wave DFT calculation with PBE was carried out for an optimized crystal structure of KNa2DyCl6.

```
KNa2DyCl6
1.0
-2.722 -2.614 -6.131
3.724 -4.834 -3.821
-2.529 -7.322 0.015
K Dy Cl Na
1 1 6 2
direct
0.808 0.808 0.575 K
0.324 0.324 0.028 Dy
0.944 0.579 0.235 Cl
0.372 0.713 0.765 Cl
0.579 0.242 0.235 Cl
0.713 0.150 0.765 Cl
0.150 0.372 0.765 Cl
0.242 0.944 0.235 Cl
0.521 0.521 0.437 Na
0.008 0.008 0.975 Na
```

Results
E, eV/atom: -3.988
E_form (uncorrected), meV/atom: -2046


- Which of these has the lowest E_form (uncorrected)?
  KDy2Cl7


Please write out number 2 again, unchanged.
A plane-wave DFT calculation with PBE was carried out for an optimized crystal structure of KDy2Cl7.

```
KDy2Cl7
1.0
-4.904 -1.409 -1.373
2.871 -6.706 -3.372
-2.022 -0.521 7.760
Cl Dy K
7 2 1
direct
0.500 0.049 0.327 Cl
0.500 0.951 0.673 Cl
0.500 0.673 0.951 Cl
0.500 0.327 0.049 Cl
0.500 0.500 0.500 Cl
0.000 0.294 0.706 Cl
0.000 0.706 0.294 Cl
0.500 0.303 0.697 Dy
0.500 0.697 0.303 Dy
0.000 0.000 0.000 K
```

Results
E, eV/atom: -4.528
E_form (uncorrected), meV/atom: -2205
Offset from the most stable computed form, eV/atom: 0.042


- The highest E belongs to which entry?
  K2Li2DyCl6


- The lowest E belongs to which entry?
  KDyMn2Cl8